[1]
First-principles (GGA-PBE) data for a geometry-optimized PrSi2Ni structure, as listed in Alexandria.

VASP energy: -6.161 eV per atom
D(E_F): 3.54 states/eV/cell
SG: Cmcm (63)

abc: 4.074 4.188 8.517
angles: 104.19 90.00 90.00
Fractional coordinates of all 8 atoms:
Si1 0.250 0.250 0.499
Pr1 0.750 0.106 0.212
Si2 0.750 0.459 0.918
Si3 0.750 0.750 0.501
Si4 0.250 0.541 0.082
Ni1 0.750 0.317 0.636
Pr2 0.250 0.894 0.788
Ni2 0.250 0.683 0.364


[2]
First-principles (GGA-PBE) data for a geometry-optimized Pr5SiNi2 structure, as listed in Alexandria.

VASP energy: -5.416 eV per atom
D(E_F): 13.28 states/eV/cell
SG: I4/mcm (140)

abc: 7.895 7.895 8.668
angles: 117.09 117.09 90.00
Fractional coordinates of all 16 atoms:
Pr1 0.694 0.194 0.715
Si1 0.250 0.250 0.500
Pr2 0.520 0.694 0.715
Ni1 0.378 0.878 0.000
Pr3 0.980 0.480 0.285
Pr4 0.000 0.000 0.000
Pr5 0.480 0.306 0.285
Ni2 0.122 0.378 0.000
Si2 0.750 0.750 0.500
Pr6 0.500 0.500 0.000
Pr7 0.306 0.806 0.285
Pr8 0.194 0.020 0.715
Ni3 0.878 0.622 0.000
Pr9 0.806 0.980 0.285
Pr10 0.020 0.520 0.715
Ni4 0.622 0.122 0.000


[3]
First-principles (GGA-PBE) data for a geometry-optimized Pr3Si2Ni2 structure, as listed in Alexandria.

VASP energy: -5.838 eV per atom
D(E_F): 22.99 states/eV/cell
SG: Pbcm (57)

abc: 5.714 8.012 12.846
angles: 90.00 90.00 90.00
Fractional coordinates of all 28 atoms:
Ni1 0.389 0.969 0.087
Ni2 0.611 0.031 0.913
Ni3 0.389 0.531 0.587
Ni4 0.389 0.969 0.413
Ni5 0.611 0.031 0.587
Pr1 0.130 0.615 0.399
Pr2 0.648 0.763 0.250
Si1 0.625 0.750 0.500
Pr3 0.648 0.737 0.750
Si2 0.176 0.588 0.750
Si3 0.375 0.250 0.500
Pr4 0.870 0.115 0.101
Si4 0.176 0.912 0.250
Pr5 0.352 0.263 0.250
Si5 0.824 0.412 0.250
Si6 0.625 0.750 0.000
Ni6 0.611 0.469 0.087
Pr6 0.870 0.115 0.399
Pr7 0.130 0.885 0.899
Si7 0.824 0.088 0.750
Pr8 0.130 0.885 0.601
Ni7 0.389 0.531 0.913
Pr9 0.130 0.615 0.101
Ni8 0.611 0.469 0.413
Pr10 0.352 0.237 0.750
Si8 0.375 0.250 0.000
Pr11 0.870 0.385 0.601
Pr12 0.870 0.385 0.899